12
Lattice="-0.5344 1.2351 5.3257 -1.4150 -2.0565 4.8931 8.6721 -2.5110 1.4525" Properties=species:S:1:pos:R:3 comment="NaHoCoO3 GGA+U optimized geometry" energy_ev_per_atom=-6.33 pbc="T T T"
O 3.6846 -1.9362 7.2324
O 2.0516 -0.6768 0.9734
O -0.1551 -0.4715 3.9040
O 3.0383 -1.3962 4.4388
O 4.6712 -2.6555 10.6978
O 6.8779 -2.8608 7.7672
Co 1.2835 -1.0005 5.0002
Co 5.4393 -2.3319 6.6711
Na 5.9722 -2.1073 3.8775
Na 0.7506 -1.2250 7.7937
Ho 0.0000 0.0000 0.0000
Ho 4.3361 -1.2555 0.7262